1.
Density functional theory data (GGA-PBE) for a relaxed structure of Na3P4HAu2O14.

Output
energy = -145.9 eV per cell

Unit cell a=5.338 b=5.433 c=12.743 alpha=96.68 beta=95.34 gamma=119.42
Space group P-1 (No. 2)
Unique sites:
Na: 0.000 0.000 0.000 [1 per cell]
Na: 0.340 0.199 0.536 [2 per cell]
P: 0.070 0.563 0.641 [2 per cell]
P: 0.268 0.581 0.867 [2 per cell]
H: 0.000 0.500 0.000 [1 per cell]
Au: 0.249 0.020 0.261 [2 per cell]
O: 0.087 0.300 0.407 [2 per cell]
O: 0.100 0.771 0.387 [2 per cell]
O: 0.104 0.649 0.771 [2 per cell]
O: 0.145 0.255 0.852 [2 per cell]
O: 0.193 0.694 0.968 [2 per cell]
O: 0.383 0.676 0.616 [2 per cell]
O: 0.405 0.265 0.137 [2 per cell]


2.
Density functional theory data (GGA-PBE) for a relaxed structure of Na3H4AuS4O8.

Output
energy = -404.4 eV per cell

Unit cell a=5.304 b=11.126 c=18.002 alpha=90.00 beta=97.96 gamma=90.00
Space group P2_1/c (No. 14)
Unique sites:
Na: 0.153 0.178 0.284 [4 per cell]
Na: 0.185 0.589 0.873 [4 per cell]
Na: 0.261 0.608 0.086 [4 per cell]
H: 0.024 0.190 0.128 [4 per cell]
H: 0.119 0.669 0.626 [4 per cell]
H: 0.230 0.667 0.341 [4 per cell]
H: 0.318 0.702 0.697 [4 per cell]
Au: 0.349 0.058 0.931 [4 per cell]
S: 0.125 0.167 0.008 [4 per cell]
S: 0.281 0.162 0.501 [4 per cell]
S: 0.379 0.033 0.743 [4 per cell]
S: 0.454 0.043 0.156 [4 per cell]
O: 0.076 0.719 0.334 [4 per cell]
O: 0.108 0.001 0.726 [4 per cell]
O: 0.157 0.092 0.556 [4 per cell]
O: 0.175 0.734 0.661 [4 per cell]
O: 0.210 0.118 0.424 [4 per cell]
O: 0.416 0.165 0.747 [4 per cell]
O: 0.440 0.665 0.979 [4 per cell]
O: 0.469 0.023 0.311 [4 per cell]


3.
Density functional theory data (GGA-PBE) for a relaxed structure of Na2H6OsAu.

Output
energy = -147.7 eV per cell
total magnetization = 0.06 μB per formula unit

Unit cell a=7.272 b=7.272 c=7.272 alpha=90.00 beta=90.00 gamma=90.00
Space group Fm-3m (No. 225)
Unique sites:
Na: 0.250 0.250 0.250 [8 per cell]
H: 0.000 0.000 0.241 [24 per cell]
Os: 0.000 0.000 0.000 [4 per cell]
Au: 0.000 0.000 0.500 [4 per cell]


4.
Density functional theory data (GGA-PBE) for a relaxed structure of NaSr2H6Au.

Output
energy = -120.4 eV per cell

Unit cell a=8.037 b=8.037 c=8.037 alpha=90.00 beta=90.00 gamma=90.00
Space group Fm-3m (No. 225)
Unique sites:
Na: 0.000 0.000 0.000 [4 per cell]
Sr: 0.250 0.250 0.250 [8 per cell]
H: 0.000 0.000 0.259 [24 per cell]
Au: 0.000 0.000 0.500 [4 per cell]


5.
Density functional theory data (GGA-PBE) for a relaxed structure of PH2AuO5.

Output
energy = -200.5 eV per cell

Unit cell a=7.171 b=7.696 c=7.364 alpha=90.00 beta=113.23 gamma=90.00
Space group C2/c (No. 15)
Unique sites:
P: 0.000 0.078 0.250 [4 per cell]
H: 0.089 0.475 0.210 [8 per cell]
Au: 0.250 0.250 0.000 [4 per cell]
O: 0.000 0.452 0.750 [4 per cell]
O: 0.015 0.193 0.084 [8 per cell]
O: 0.194 0.036 0.831 [8 per cell]


6.
Density functional theory data (GGA-PBE) for a relaxed structure of Rb3P4HAu2O14.

Output
energy = -145.7 eV per cell

Unit cell a=5.542 b=5.749 c=12.853 alpha=89.98 beta=79.15 gamma=62.64
Space group P-1 (No. 2)
Unique sites:
Rb: 0.000 0.000 0.000 [1 per cell]
Rb: 0.204 0.148 0.431 [2 per cell]
P: 0.417 0.528 0.655 [2 per cell]
P: 0.438 0.300 0.856 [2 per cell]
H: 0.500 0.500 0.000 [1 per cell]
Au: 0.006 0.269 0.731 [2 per cell]
O: 0.248 0.882 0.179 [2 per cell]
O: 0.262 0.631 0.382 [2 per cell]
O: 0.284 0.148 0.837 [2 per cell]
O: 0.288 0.361 0.620 [2 per cell]
O: 0.298 0.801 0.621 [2 per cell]
O: 0.350 0.550 0.786 [2 per cell]
O: 0.352 0.423 0.972 [2 per cell]


7.
Density functional theory data (GGA-PBE) for a relaxed structure of PH4WAuSe4.

Output
energy = -50.3 eV per cell
total magnetization = 0.00 μB per formula unit

Unit cell a=5.826 b=6.865 c=6.866 alpha=79.69 beta=64.96 gamma=64.97
Space group P1 (No. 1)
Unique sites:
P: 0.000 0.000 0.000 [1 per cell]
H: 0.091 0.919 0.172 [1 per cell]
H: 0.186 0.075 0.826 [1 per cell]
H: 0.741 0.176 0.078 [1 per cell]
H: 0.981 0.831 0.922 [1 per cell]
W: 0.250 0.500 0.500 [1 per cell]
Au: 0.750 0.499 0.500 [1 per cell]
Se: 0.232 0.186 0.420 [1 per cell]
Se: 0.348 0.420 0.814 [1 per cell]
Se: 0.581 0.580 0.186 [1 per cell]
Se: 0.838 0.814 0.580 [1 per cell]


8.
Density functional theory data (GGA-PBE) for a relaxed structure of Sr2H6PtAu.

Output
energy = -150.1 eV per cell
total magnetization = 0.00 μB per formula unit

Unit cell a=7.842 b=7.842 c=7.842 alpha=90.00 beta=90.00 gamma=90.00
Space group Fm-3m (No. 225)
Unique sites:
Sr: 0.250 0.250 0.250 [8 per cell]
H: 0.000 0.000 0.227 [24 per cell]
Pt: 0.000 0.000 0.000 [4 per cell]
Au: 0.000 0.000 0.500 [4 per cell]


9.
Density functional theory data (GGA-PBE) for a relaxed structure of RbH2Au.

Output
energy = -47.8 eV per cell

Unit cell a=14.588 b=4.781 c=5.525 alpha=90.00 beta=90.00 gamma=90.00
Space group Pnma (No. 62)
Unique sites:
Rb: 0.127 0.250 0.183 [4 per cell]
H: 0.063 0.750 0.926 [4 per cell]
H: 0.192 0.750 0.431 [4 per cell]
Au: 0.127 0.750 0.678 [4 per cell]


10.
Density functional theory data (GGA-PBE) for a relaxed structure of Rb2TaH6Au.

Output
energy = -71.2 eV per cell
total magnetization = 2.37 μB per formula unit

Unit cell a=5.400 b=5.400 c=10.494 alpha=90.00 beta=90.00 gamma=90.00
Space group I4/mmm (No. 139)
Unique sites:
Rb: 0.000 0.500 0.250 [4 per cell]
Ta: 0.000 0.000 0.000 [2 per cell]
H: 0.000 0.000 0.182 [4 per cell]
H: 0.240 0.240 0.500 [8 per cell]
Au: 0.000 0.000 0.500 [2 per cell]


11.
Density functional theory data (GGA-PBE) for a relaxed structure of SmHAu.

Output
energy = -27.2 eV per cell
total magnetization = 0.00 μB per formula unit

Unit cell a=3.800 b=3.811 c=7.223 alpha=90.00 beta=90.00 gamma=90.00
Space group Pmmn (No. 59, origin choice 2)
Unique sites:
Sm: 0.250 0.250 0.184 [2 per cell]
H: 0.250 0.750 0.001 [2 per cell]
Au: 0.250 0.250 0.610 [2 per cell]


12.
Density functional theory data (GGA-PBE) for a relaxed structure of Sr2ZnH6Au.

Output
energy = -121.3 eV per cell

Unit cell a=7.842 b=7.842 c=7.842 alpha=90.00 beta=90.00 gamma=90.00
Space group Fm-3m (No. 225)
Unique sites:
Sr: 0.250 0.250 0.250 [8 per cell]
Zn: 0.000 0.000 0.000 [4 per cell]
H: 0.000 0.000 0.239 [24 per cell]
Au: 0.000 0.000 0.500 [4 per cell]


Copy entry 5 word for word.
Density functional theory data (GGA-PBE) for a relaxed structure of PH2AuO5.

Output
energy = -200.5 eV per cell

Unit cell a=7.171 b=7.696 c=7.364 alpha=90.00 beta=113.23 gamma=90.00
Space group C2/c (No. 15)
Unique sites:
P: 0.000 0.078 0.250 [4 per cell]
H: 0.089 0.475 0.210 [8 per cell]
Au: 0.250 0.250 0.000 [4 per cell]
O: 0.000 0.452 0.750 [4 per cell]
O: 0.015 0.193 0.084 [8 per cell]
O: 0.194 0.036 0.831 [8 per cell]


Which of these has the highest energy? SmHAu


Which value of energy does entry 6 give? -145.7 eV per cell